# 1
Density functional theory data (GGA-PBE) for a relaxed structure of CrCoMo2Pd.

Calculated values
Raw total energy   -6.5048 eV/atom
Volume   98.2 Å³/f.u.
Total moment   1.9 Bohr magnetons per cell
Space-group type   P4/mmm, No. 123
N(E_F)   10.71 states/eV/cell

a b c (Å): 4.7073 4.7073 4.4309
angles (deg): 90.00 90.00 90.00
Fractional coordinates of all 5 atoms:
Cr: 0.0000 0.0000 0.0000
Co: 0.5000 0.5000 0.0000
Mo: 0.0000 0.5000 0.5000
Mo: 0.5000 0.0000 0.5000
Pd: 0.0000 0.0000 0.5000

# 2
Density functional theory data (GGA-PBE) for a relaxed structure of TaCrCoMo.

Calculated values
Raw total energy   -9.8202 eV/atom
Volume   57.1 Å³/f.u.
Total moment   8.3 Bohr magnetons per cell
Space-group type   F-43m, No. 216
N(E_F)   6.43 states/eV/cell

a b c (Å): 6.1138 6.1138 6.1138
angles (deg): 90.00 90.00 90.00
Fractional coordinates of all 16 atoms:
Ta: 0.0000 0.0000 0.0000
Ta: 0.0000 0.5000 0.5000
Ta: 0.5000 0.0000 0.5000
Ta: 0.5000 0.5000 0.0000
Cr: 0.0000 0.0000 0.5000
Cr: 0.0000 0.5000 0.0000
Cr: 0.5000 0.0000 0.0000
Cr: 0.5000 0.5000 0.5000
Co: 0.2500 0.2500 0.7500
Co: 0.2500 0.7500 0.2500
Co: 0.7500 0.2500 0.2500
Co: 0.7500 0.7500 0.7500
Mo: 0.2500 0.2500 0.2500
Mo: 0.2500 0.7500 0.7500
Mo: 0.7500 0.2500 0.7500
Mo: 0.7500 0.7500 0.2500

# 3
Density functional theory data (GGA-PBE) for a relaxed structure of TaCrCoMo2.

Calculated values
Raw total energy   -9.0043 eV/atom
Volume   82.8 Å³/f.u.
Total moment   0.0 Bohr magnetons per cell
Space-group type   P4/mmm, No. 123
N(E_F)   6.76 states/eV/cell

a b c (Å): 4.5092 4.5092 4.0711
angles (deg): 90.00 90.00 90.00
Fractional coordinates of all 5 atoms:
Ta: 0.0000 0.0000 0.0000
Cr: 0.5000 0.5000 0.0000
Co: 0.5000 0.5000 0.5000
Mo: 0.0000 0.5000 0.5000
Mo: 0.5000 0.0000 0.5000

# 4
Density functional theory data (GGA-PBE) for a relaxed structure of CrCoTcMo.

Calculated values
Raw total energy   -9.3409 eV/atom
Volume   54.7 Å³/f.u.
Total moment   14.5 Bohr magnetons per cell
Space-group type   F-43m, No. 216
N(E_F)   12.64 states/eV/cell

a b c (Å): 6.0271 6.0271 6.0271
angles (deg): 90.00 90.00 90.00
Fractional coordinates of all 16 atoms:
Cr: 0.0000 0.0000 0.0000
Cr: 0.0000 0.5000 0.5000
Cr: 0.5000 0.0000 0.5000
Cr: 0.5000 0.5000 0.0000
Co: 0.2500 0.2500 0.2500
Co: 0.2500 0.7500 0.7500
Co: 0.7500 0.2500 0.7500
Co: 0.7500 0.7500 0.2500
Tc: 0.2500 0.2500 0.7500
Tc: 0.2500 0.7500 0.2500
Tc: 0.7500 0.2500 0.2500
Tc: 0.7500 0.7500 0.7500
Mo: 0.0000 0.0000 0.5000
Mo: 0.0000 0.5000 0.0000
Mo: 0.5000 0.0000 0.0000
Mo: 0.5000 0.5000 0.5000

# 5
Density functional theory data (GGA-PBE) for a relaxed structure of CrCoTeMo2.

Calculated values
ΔE_f (raw)   1.49 eV/atom
Raw total energy   -6.8150 eV/atom
Volume   95.6 Å³/f.u.
Total moment   1.3 Bohr magnetons per cell
Space-group type   P4/mmm, No. 123
N(E_F)   6.46 states/eV/cell

a b c (Å): 4.4772 4.4772 4.7690
angles (deg): 90.00 90.00 90.00
Fractional coordinates of all 5 atoms:
Cr: 0.0000 0.0000 0.0000
Co: 0.5000 0.5000 0.5000
Te: 0.0000 0.0000 0.5000
Mo: 0.0000 0.5000 0.0000
Mo: 0.5000 0.0000 0.0000

# 6
Density functional theory data (GGA-PBE) for a relaxed structure of TlCrCo2Mo.

Calculated values
Raw total energy   -6.2766 eV/atom
Volume   84.0 Å³/f.u.
Total moment   1.8 Bohr magnetons per cell
Space-group type   P4/mmm, No. 123
N(E_F)   6.54 states/eV/cell

a b c (Å): 4.3277 4.3277 4.4852
angles (deg): 90.00 90.00 90.00
Fractional coordinates of all 5 atoms:
Tl: 0.0000 0.0000 0.0000
Cr: 0.5000 0.5000 0.5000
Co: 0.0000 0.5000 0.5000
Co: 0.5000 0.0000 0.5000
Mo: 0.5000 0.5000 0.0000

# 7
Density functional theory data (GGA-PBE) for a relaxed structure of VCrCoMo.

Calculated values
Raw total energy   -9.1495 eV/atom
Volume   51.9 Å³/f.u.
Total moment   8.2 Bohr magnetons per cell
Space-group type   F-43m, No. 216
N(E_F)   9.91 states/eV/cell

a b c (Å): 5.9222 5.9222 5.9222
angles (deg): 90.00 90.00 90.00
Fractional coordinates of all 16 atoms:
V: 0.0000 0.0000 0.0000
V: 0.0000 0.5000 0.5000
V: 0.5000 0.0000 0.5000
V: 0.5000 0.5000 0.0000
Cr: 0.0000 0.0000 0.5000
Cr: 0.0000 0.5000 0.0000
Cr: 0.5000 0.0000 0.0000
Cr: 0.5000 0.5000 0.5000
Co: 0.2500 0.2500 0.2500
Co: 0.2500 0.7500 0.7500
Co: 0.7500 0.2500 0.7500
Co: 0.7500 0.7500 0.2500
Mo: 0.2500 0.2500 0.7500
Mo: 0.2500 0.7500 0.2500
Mo: 0.7500 0.2500 0.2500
Mo: 0.7500 0.7500 0.7500

# 8
Density functional theory data (GGA-PBE) for a relaxed structure of Cr2CoN.

Calculated values
ΔE_f (raw)   -0.17 eV/atom
Raw total energy   -8.8359 eV/atom
Volume   39.2 Å³/f.u.
Total moment   1.9 Bohr magnetons per cell
Space-group type   R3m, No. 160
N(E_F)   12.00 states/eV/cell

a b c (Å): 2.6478 2.6478 19.3852
angles (deg): 90.00 90.00 120.00
Fractional coordinates of all 12 atoms:
Cr: 0.0000 0.0000 0.0000
Cr: 0.0000 0.0000 0.2057
Cr: 0.3333 0.6667 0.6667
Cr: 0.3333 0.6667 0.8724
Cr: 0.6667 0.3333 0.3333
Cr: 0.6667 0.3333 0.5390
Co: 0.0000 0.0000 0.7669
Co: 0.3333 0.6667 0.4336
Co: 0.6667 0.3333 0.1002
N: 0.0000 0.0000 0.6034
N: 0.3333 0.6667 0.2700
N: 0.6667 0.3333 0.9367

# 9
Density functional theory data (GGA-PBE) for a relaxed structure of CrCo2N3.

Calculated values
ΔE_f (raw)   0.23 eV/atom
Relative energy among the computed polymorphs   164 kJ/mol of formula units
Raw total energy   -7.9019 eV/atom
Volume   63.1 Å³/f.u.
Total moment   0.3 Bohr magnetons per cell
Space-group type   Cmce, No. 64
N(E_F)   17.35 states/eV/cell

a b c (Å): 5.3788 5.3788 9.4939
angles (deg): 90.00 90.00 113.20
Fractional coordinates of all 24 atoms:
Cr: 0.1905 0.8095 0.8509
Cr: 0.3095 0.6905 0.3509
Cr: 0.6905 0.3095 0.6491
Cr: 0.8095 0.1905 0.1491
Co: 0.0063 0.9937 0.6253
Co: 0.1973 0.8027 0.1311
Co: 0.3027 0.6973 0.6311
Co: 0.4937 0.5063 0.1253
Co: 0.5063 0.4937 0.8747
Co: 0.6973 0.3027 0.3689
Co: 0.8027 0.1973 0.8689
Co: 0.9937 0.0063 0.3747
N: 0.0000 0.0000 0.1714
N: 0.0000 0.0000 0.8286
N: 0.0044 0.4956 0.2500
N: 0.1573 0.8427 0.4953
N: 0.3427 0.6573 0.9953
N: 0.4956 0.0044 0.7500
N: 0.5000 0.5000 0.3286
N: 0.5000 0.5000 0.6714
N: 0.5044 0.9956 0.2500
N: 0.6573 0.3427 0.0047
N: 0.8427 0.1573 0.5047
N: 0.9956 0.5044 0.7500

# 10
Density functional theory data (GGA-PBE) for a relaxed structure of CrCo2N3.

Calculated values
ΔE_f (raw)   -0.05 eV/atom
Relative energy among the computed polymorphs   0 kJ/mol of formula units
Raw total energy   -8.1860 eV/atom
Volume   58.4 Å³/f.u.
Total moment   0.0 Bohr magnetons per cell
Space-group type   Cmc2_1, No. 36
N(E_F)   8.96 states/eV/cell

a b c (Å): 5.1207 5.1207 5.1344
angles (deg): 90.00 90.00 60.12
Fractional coordinates of all 12 atoms:
Cr: 0.1625 0.8375 0.5000
Cr: 0.8375 0.1625 0.0000
Co: 0.1687 0.5176 0.9476
Co: 0.4824 0.8313 0.9476
Co: 0.5176 0.1687 0.4476
Co: 0.8313 0.4824 0.4476
N: 0.1653 0.4908 0.5819
N: 0.1701 0.8299 0.1370
N: 0.4908 0.1653 0.0819
N: 0.5092 0.8347 0.5819
N: 0.8299 0.1701 0.6370
N: 0.8347 0.5092 0.0819

# 11
Density functional theory data (GGA-PBE) for a relaxed structure of Cr2Co3N4.

Calculated values
ΔE_f (raw)   -0.03 eV/atom
Raw total energy   -8.2359 eV/atom
Volume   82.1 Å³/f.u.
Total moment   0.0 Bohr magnetons per cell
Space-group type   C2/c, No. 15
N(E_F)   11.49 states/eV/cell

a b c (Å): 5.5443 5.5443 5.4281
angles (deg): 90.22 90.22 79.96
Fractional coordinates of all 18 atoms:
Cr: 0.0549 0.3111 0.1507
Cr: 0.3111 0.0549 0.6507
Cr: 0.6889 0.9451 0.3493
Cr: 0.9451 0.6889 0.8493
Co: 0.1579 0.8421 0.2500
Co: 0.2741 0.4841 0.5088
Co: 0.4841 0.2741 0.0088
Co: 0.5159 0.7259 0.9912
Co: 0.7259 0.5159 0.4912
Co: 0.8421 0.1579 0.7500
N: 0.0487 0.2582 0.4920
N: 0.2269 0.5635 0.0271
N: 0.2582 0.0487 0.9920
N: 0.4365 0.7731 0.4729
N: 0.5635 0.2269 0.5271
N: 0.7418 0.9513 0.0080
N: 0.7731 0.4365 0.9729
N: 0.9513 0.7418 0.5080

# 12
Density functional theory data (GGA-PBE) for a relaxed structure of CrCo3N3.

Calculated values
ΔE_f (raw)   0.09 eV/atom
Raw total energy   -7.8957 eV/atom
Volume   68.1 Å³/f.u.
Total moment   0.0 Bohr magnetons per cell
Space-group type   P6_3/mmc, No. 194
N(E_F)   11.14 states/eV/cell

a b c (Å): 6.3666 6.3666 3.8816
angles (deg): 90.00 90.00 120.00
Fractional coordinates of all 14 atoms:
Cr: 0.3333 0.6667 0.2500
Cr: 0.6667 0.3333 0.7500
Co: 0.1796 0.3592 0.7500
Co: 0.1796 0.8204 0.7500
Co: 0.3592 0.1796 0.2500
Co: 0.6408 0.8204 0.7500
Co: 0.8204 0.1796 0.2500
Co: 0.8204 0.6408 0.2500
N: 0.1695 0.3391 0.2500
N: 0.1695 0.8305 0.2500
N: 0.3391 0.1695 0.7500
N: 0.6609 0.8305 0.2500
N: 0.8305 0.1695 0.7500
N: 0.8305 0.6609 0.7500